(a)
SiNiBr2 (PBE-GGA, optimized geometry); crystal system = cubic; total moment = 0.02 μB/atom; symmetry = F-43m, No. 216
1.0
-2.2361 3.2492 -2.7664
-4.4296 -0.8974 -1.6685
-3.7687 2.4519 1.7309
Br Ni Si
2 1 1
Direct
0.0000 0.0000 0.0000
0.7500 0.7500 0.7500
0.5000 0.5000 0.5000
0.2500 0.2500 0.2500

(b)
SiNiBr2 (PBE-GGA, optimized geometry); crystal system = trigonal; total moment = 0.33 μB/atom; symmetry = R-3m, No. 166
1.0
-2.2276 -3.8386 7.2366
-1.0021 -6.4961 5.3723
1.1855 -4.4542 7.1288
Br Ni Si
2 1 1
Direct
0.9784 0.9784 0.9784
0.5216 0.5216 0.5216
0.2500 0.2500 0.2500
0.7500 0.7500 0.7500

(c)
SiNiBr2 (PBE-GGA, optimized geometry); crystal system = orthorhombic; total moment = 0.00 μB/atom; symmetry = Imm2, No. 44
1.0
-4.3513 6.6373 -1.5333
-4.7971 5.5228 3.4387
6.6249 -4.5574 -0.8242
Br Si Ni
2 1 1
Direct
0.7413 0.2413 0.5000
0.9846 0.9846 0.0000
0.3341 0.8341 0.5000
0.4400 0.4400 0.0000

Least stable = (a)

(a)
SiNiBr2 (PBE-GGA, optimized geometry); crystal system = monoclinic; total moment = 0.21 μB/atom; symmetry = P2/m, No. 10
1.0
-2.6073 2.4057 1.0901
-1.4683 -0.2083 -3.0523
-2.8263 -5.2488 4.8237
Si Ni Br
1 1 2
Direct
0.5000 0.7500 0.7500
0.5000 0.2500 0.2500
0.0000 0.8966 0.0332
0.0000 0.6034 0.4668

(b)
SiNiBr2 (PBE-GGA, optimized geometry); crystal system = monoclinic; total moment = 0.09 μB/atom; symmetry = C2/m, No. 12
1.0
-3.0945 -1.2023 7.2871
-2.4306 -4.4471 6.1999
2.8590 -0.0713 1.9587
Br Si Ni
2 1 1
Direct
0.1115 0.1115 0.8770
0.3885 0.3885 0.6230
0.2500 0.2500 0.2500
0.7500 0.7500 0.7500

Least stable = (a)

(a)
SiNiBr (PBE-GGA, optimized geometry); crystal system = orthorhombic; total moment = 0.00 μB/atom; symmetry = Fmm2, No. 42
1.0
-1.0606 5.9380 1.8921
-3.2306 3.8457 3.3506
2.2699 0.9175 2.2846
Ni Si Br
1 1 1
Direct
0.6831 0.6831 0.3169
0.2743 0.2743 0.7257
0.0425 0.0425 0.9575

(b)
SiNiBr (PBE-GGA, optimized geometry); crystal system = cubic; total moment = 0.00 μB/atom; symmetry = F-43m, No. 216
1.0
-3.1668 1.8476 -2.2005
-0.0618 -0.2420 -4.2687
-2.9325 -2.4154 -1.9623
Si Br Ni
1 1 1
Direct
0.0000 0.0000 0.0000
0.5000 0.5000 0.5000
0.7500 0.7500 0.7500

Least stable = (b)

(a)
SiNiBr (PBE-GGA, optimized geometry); crystal system = tetragonal; total moment = 0.00 μB/atom; symmetry = I4mm, No. 107
1.0
-0.4988 4.8593 -3.5259
1.4653 1.4807 -5.6528
-2.4701 -3.8832 3.8875
Ni Si Br
1 1 1
Direct
0.2187 0.2187 0.0000
0.7876 0.7876 0.0000
0.9937 0.9937 0.0000

(b)
SiNiBr (PBE-GGA, optimized geometry); crystal system = trigonal; total moment = 0.00 μB/atom; symmetry = P3m1, No. 156
1.0
-3.4593 -0.3547 -0.4802
1.8597 -2.6372 1.3819
-0.8513 1.8841 4.7410
Br Ni Si
1 1 1
Direct
0.0000 0.0000 0.0564
0.6667 0.3333 0.3699
0.3333 0.6667 0.5737

Least stable = (b)

(a)
Ni3SnBr (PBE-GGA, optimized geometry); crystal system = cubic; total moment = 0.00 μB/atom; symmetry = Pm-3m, No. 221
1.0
4.4788 0.0000 0.0000
0.0000 4.4788 0.0000
0.0000 0.0000 4.4788
Ni Br Sn
3 1 1
Direct
0.0000 0.5000 0.0000
0.0000 0.0000 0.5000
0.5000 0.0000 0.0000
0.0000 0.0000 0.0000
0.5000 0.5000 0.5000

(b)
Ni3SnBr (PBE-GGA, optimized geometry); crystal system = cubic; total moment = 0.00 μB/atom; symmetry = Pm-3m, No. 221
1.0
-1.1909 3.2248 -3.3041
-4.3993 0.2428 1.8227
1.4009 3.5038 2.9148
Ni Sn Br
3 1 1
Direct
0.5000 0.0000 0.0000
0.0000 0.5000 0.0000
0.0000 0.0000 0.5000
0.0000 0.0000 0.0000
0.5000 0.5000 0.5000

Least stable = (b)

(a)
SrNi2Br (PBE-GGA, optimized geometry); crystal system = monoclinic; total moment = 0.24 μB/atom; symmetry = C2/m, No. 12
1.0
-4.2245 -0.8893 -3.7744
-1.7210 -3.7818 -3.9522
-1.7012 -1.7579 4.6459
Br Sr Ni
1 1 2
Direct
0.2500 0.2500 0.2500
0.7500 0.7500 0.7500
0.4569 0.4569 0.6400
0.0431 0.0431 0.8600

(b)
SrNi2Br (PBE-GGA, optimized geometry); crystal system = tetragonal; total moment = 0.26 μB/atom; symmetry = P4/mmm, No. 123
1.0
-2.3557 2.8219 1.7489
0.7626 -1.6249 3.6491
4.7608 3.5980 0.6071
Sr Ni Br
1 2 1
Direct
0.5000 0.5000 0.2500
0.0000 0.0000 0.4355
0.0000 0.0000 0.0645
0.5000 0.5000 0.7500

(c)
SrNi2Br (PBE-GGA, optimized geometry); crystal system = tetragonal; total moment = 0.26 μB/atom; symmetry = P4mm, No. 99
1.0
-1.8346 1.4155 -2.5688
-2.4423 -2.4147 0.4138
-3.5176 4.4043 4.9392
Br Ni Sr
1 2 1
Direct
0.5000 0.5000 0.7255
0.0000 0.0000 0.1140
0.5000 0.5000 0.1785
0.0000 0.0000 0.4820

(d)
SrNi2Br (PBE-GGA, optimized geometry); crystal system = cubic; total moment = 0.00 μB/atom; symmetry = Fm-3m, No. 225
1.0
2.1606 -0.6260 4.2352
-1.9712 1.7953 3.9860
-1.9223 -2.9448 3.2604
Br Ni Sr
1 2 1
Direct
0.0000 0.0000 0.0000
0.7500 0.7500 0.7500
0.2500 0.2500 0.2500
0.5000 0.5000 0.5000

Least stable = (d)

(a)
Sr2NiBr (PBE-GGA, optimized geometry); crystal system = cubic; total moment = 0.00 μB/atom; symmetry = Fm-3m, No. 225
1.0
2.3360 -2.3276 4.3328
-3.0635 -1.6394 4.1923
-0.7021 -5.3164 0.9439
Sr Ni Br
2 1 1
Direct
0.7500 0.7500 0.7500
0.2500 0.2500 0.2500
0.0000 0.0000 0.0000
0.5000 0.5000 0.5000

(b)
Sr2NiBr (PBE-GGA, optimized geometry); crystal system = tetragonal; total moment = 0.00 μB/atom; symmetry = P4/mmm, No. 123
1.0
-1.2568 0.2997 4.2935
2.9906 -3.1482 1.0952
4.2566 4.3708 0.9410
Br Sr Ni
1 2 1
Direct
0.0000 0.0000 0.3752
0.0000 0.0000 0.8752
0.5000 0.5000 0.3747
0.5000 0.5000 0.8749

(c)
Sr2NiBr (PBE-GGA, optimized geometry); crystal system = tetragonal; total moment = 0.00 μB/atom; symmetry = I-4m2, No. 119
1.0
-5.2998 -4.8909 1.1123
-2.7993 -5.0179 -4.4978
6.1330 2.9185 2.6674
Br Ni Sr
1 1 2
Direct
0.5000 0.5000 0.0000
0.7500 0.2500 0.5000
0.2500 0.7500 0.5000
0.0000 0.0000 0.0000

Least stable = (c)

(a)
Sr2NiBr (PBE-GGA, optimized geometry); crystal system = tetragonal; total moment = 0.00 μB/atom; symmetry = I-42d, No. 122
1.0
-6.3221 2.2595 4.1293
-4.3464 -0.1478 -6.5736
-6.3579 -3.2211 -0.4491
Sr Ni Br
4 2 2
Direct
0.8750 0.8454 0.7500
0.1546 0.6250 0.2500
0.5954 0.1250 0.2500
0.3750 0.4046 0.7500
0.5000 0.5000 0.0000
0.2500 0.7500 0.5000
0.0000 0.0000 0.0000
0.7500 0.2500 0.5000

(b)
Sr2NiBr (PBE-GGA, optimized geometry); crystal system = trigonal; total moment = 0.00 μB/atom; symmetry = R3m, No. 160
1.0
-0.3139 -4.1716 -0.6645
3.2563 -2.1286 -1.6757
3.8769 -3.4971 6.6223
Br Sr Ni
1 2 1
Direct
0.4992 0.4992 0.5023
0.0696 0.0696 0.7911
0.2642 0.2642 0.2073
0.6669 0.6669 0.9994

Least stable = (a)

(a)
Sr2NiBr (PBE-GGA, optimized geometry); crystal system = monoclinic; total moment = 0.00 μB/atom; symmetry = P2/m, No. 10
1.0
3.7191 0.0000 0.0000
0.0000 3.7359 -0.0598
0.0000 3.8167 8.1163
Sr Br Ni
2 1 1
Direct
0.0000 0.4628 0.5348
0.0000 0.0372 0.9652
0.5000 0.2500 0.2500
0.5000 0.7500 0.7500

(b)
Sr2NiBr (PBE-GGA, optimized geometry); crystal system = monoclinic; total moment = 0.00 μB/atom; symmetry = C2/m, No. 12
1.0
4.2427 -0.0052 -0.0063
2.1235 3.6731 -0.0063
2.1273 1.2256 7.9945
Br Sr Ni
1 2 1
Direct
0.7500 0.7500 0.7500
0.9869 0.9869 0.0394
0.5131 0.5131 0.4606
0.2500 0.2500 0.2500

(c)
Sr2NiBr (PBE-GGA, optimized geometry); crystal system = monoclinic; total moment = 0.00 μB/atom; symmetry = Cm, No. 8
1.0
-7.8454 2.6677 2.4484
-8.4915 -0.9843 1.2602
0.7130 -1.3493 3.7597
Sr Ni Br
2 1 1
Direct
0.9350 0.9350 0.1245
0.7279 0.7279 0.6256
0.3011 0.3011 0.1256
0.5360 0.5360 0.6243

(d)
Sr2NiBr (PBE-GGA, optimized geometry); crystal system = cubic; total moment = 0.00 μB/atom; symmetry = F-43m, No. 216
1.0
5.4336 0.0000 0.0000
2.7168 4.7056 0.0000
2.7168 1.5685 4.4365
Sr Ni Br
2 1 1
Direct
0.0000 0.0000 0.0000
0.2500 0.2500 0.2500
0.7500 0.7500 0.7500
0.5000 0.5000 0.5000

Least stable = (d)

(a)
Sr2NiBr6 (PBE-GGA, optimized geometry); crystal system = tetragonal; total moment = 0.23 μB/atom; symmetry = P4_2/mnm, No. 136
1.0
-1.3065 -2.1385 -6.3332
1.0527 -6.4383 1.9568
-12.7070 -1.1618 3.0136
Sr Br Ni
4 12 2
Direct
0.0000 0.0000 0.6663
0.0000 0.0000 0.3337
0.5000 0.5000 0.1663
0.5000 0.5000 0.8337
0.7737 0.2263 0.5000
0.8167 0.1833 0.8566
0.8167 0.1833 0.1434
0.1833 0.8167 0.8566
0.3167 0.3167 0.6434
0.6833 0.6833 0.3566
0.3167 0.3167 0.3566
0.7263 0.7263 0.0000
0.1833 0.8167 0.1434
0.2737 0.2737 0.0000
0.6833 0.6833 0.6434
0.2263 0.7737 0.5000
0.0000 0.0000 0.0000
0.5000 0.5000 0.5000

(b)
Sr2NiBr6 (PBE-GGA, optimized geometry); crystal system = monoclinic; total moment = 0.22 μB/atom; symmetry = P2_1/c, No. 14
1.0
6.9520 0.0000 -0.3449
0.0000 7.8199 0.0000
0.3825 0.0000 9.8673
Br Sr Ni
12 4 2
Direct
0.6105 0.4787 0.2448
0.8895 0.9787 0.2552
0.1105 0.0213 0.7448
0.3895 0.5213 0.7552
0.3378 0.7966 0.0530
0.6622 0.2034 0.9470
0.6913 0.1649 0.5546
0.8087 0.6649 0.9454
0.1622 0.2966 0.4470
0.1913 0.3351 0.0546
0.8378 0.7034 0.5530
0.3087 0.8351 0.4454
0.0347 0.6085 0.2542
0.4653 0.1085 0.2458
0.5347 0.8915 0.7542
0.9653 0.3915 0.7458
0.5000 0.5000 0.0000
0.0000 0.0000 0.5000

Least stable = (a)

(a)
Ta2NiBr (PBE-GGA, optimized geometry); crystal system = monoclinic; total moment = 0.00 μB/atom; symmetry = Cm, No. 8
1.0
-0.0910 4.4294 -2.1800
-2.8499 3.8421 -1.2234
0.6108 3.0906 3.6592
Ta Ni Br
2 1 1
Direct
0.9858 0.9858 0.0689
0.7567 0.7567 0.6973
0.2541 0.2541 0.1883
0.5034 0.5034 0.5455

(b)
Ta2NiBr (PBE-GGA, optimized geometry); crystal system = monoclinic; total moment = 0.00 μB/atom; symmetry = P2/m, No. 10
1.0
-0.5180 1.3640 3.7903
-2.9189 0.2215 -0.4786
-2.1317 -5.1039 1.5454
Ta Br Ni
2 1 1
Direct
0.0000 0.0225 0.9814
0.0000 0.4775 0.5186
0.5000 0.2500 0.2500
0.5000 0.7500 0.7500

Least stable = (b)